Record 1
DFT (PBE) results for a relaxed structure of TlInPb.

The structure in extended XYZ format:
```
6
Lattice="3.5243 0.0950 0.0332 1.8246 5.7446 0.4574 1.9237 0.9621 9.0829" Properties=species:S:1:pos:R:3 pbc="T T T"
Tl 5.2514 3.1140 6.1652
Tl 3.3959 5.7996 4.8560
In 3.3678 2.8033 3.0971
In 5.2772 6.1092 7.9249
Pb 5.1402 5.5142 1.8331
Pb 3.5082 3.3972 9.1877
```

Computed properties:
N(E_F): 2.3 states/eV per cell
crystal system: triclinic
energy relative to the elements: 9.3 meV/atom

Record 2
DFT (PBE) results for a relaxed structure of Sr2SeCl.

The structure in extended XYZ format:
```
4
Lattice="-1.5739 5.2857 0.2001 -4.3224 1.4767 3.0971 0.7808 2.9391 4.6052" Properties=species:S:1:pos:R:3 pbc="T T T"
Cl -2.5577 4.8507 3.9512
Se -3.8366 7.2761 5.9268
Sr 0.0000 0.0000 0.0000
Sr -1.2789 2.4254 1.9756
```

Computed properties:
formation energy (no corrections): -837 meV per atom
N(E_F): 2.8 states/eV per cell
crystal system: cubic

Record 3
DFT (PBE) results for a relaxed structure of Sm6Dy3Tm2Sc.

The structure in extended XYZ format:
```
12
Lattice="6.1700 0.0002 0.0030 -3.0833 5.3443 0.0030 -1.0308 -1.7847 11.4947" Properties=species:S:1:pos:R:3 pbc="T T T"
Sm 3.0774 1.7930 8.6700
Sm 2.0636 3.5731 2.8366
Sm -1.0215 1.7668 2.8308
Sm 0.0151 3.5616 8.6700
Sm -0.0076 -0.0132 8.6641
Sm 2.0408 -0.0018 2.8308
Dy -2.0566 3.5614 5.7504
Dy 4.1125 -0.0015 5.7504
Dy 1.0280 1.7799 5.7504
Tm 0.0018 3.5626 0.0030
Tm 3.0849 1.7820 0.0030
Sc 0.0000 0.0000 0.0000
```

Computed properties:
N(E_F): 14.2 states/eV per cell
crystal system: monoclinic
energy relative to the elements: 25.9 meV/atom

Record 4
DFT (PBE) results for a relaxed structure of Sc4Br.

The structure in extended XYZ format:
```
5
Lattice="-3.5123 3.5123 2.5306 3.5123 -3.5123 2.5306 3.5123 3.5123 -2.5306" Properties=species:S:1:pos:R:3 pbc="T T T"
Sc -0.9624 2.4228 2.5306
Sc 1.0895 2.5500 0.0000
Sc 4.4747 1.0895 0.0000
Sc 2.4228 0.9623 2.5306
Br 0.0000 0.0000 0.0000
```

Computed properties:
formation energy (no corrections): -86 meV per atom
N(E_F): 7.0 states/eV per cell
crystal system: tetragonal

Record 5
DFT (PBE) results for a relaxed structure of Ti2OsCS.

The structure in extended XYZ format:
```
5
Lattice="4.5970 0.0000 0.0000 0.0000 3.4394 0.0000 0.0000 0.0000 4.5970" Properties=species:S:1:pos:R:3 pbc="T T T"
S 0.0000 0.0000 0.0000
Os 2.2985 1.7197 2.2985
C 0.0000 1.7197 0.0000
Ti 0.0000 0.0000 2.2985
Ti 2.2985 0.0000 0.0000
```

Computed properties:
formation energy (no corrections): 775 meV per atom
N(E_F): 3.2 states/eV per cell
crystal system: tetragonal

Record 6
DFT (PBE) results for a relaxed structure of PaBeNi4.

The structure in extended XYZ format:
```
6
Lattice="4.8320 0.0000 0.0000 2.4160 4.1847 0.0000 2.4160 1.3949 3.9453" Properties=species:S:1:pos:R:3 pbc="T T T"
Ni 4.8320 2.7898 0.4743
Ni 4.8320 1.3771 2.4721
Ni 6.0555 3.4961 2.4721
Ni 3.6086 3.4961 2.4721
Pa 2.4160 1.3949 0.9863
Be 0.0000 0.0000 0.0000
```

Computed properties:
N(E_F): 6.4 states/eV per cell
crystal system: cubic
energy relative to the elements: -294.5 meV/atom

Record 7
DFT (PBE) results for a relaxed structure of Rb2CrHgCl6.

The structure in extended XYZ format:
```
10
Lattice="7.3744 0.0028 0.0037 0.0027 7.3726 0.0037 3.6912 3.6905 5.2420" Properties=species:S:1:pos:R:3 pbc="T T T"
Rb 7.3765 3.6911 2.6232
Rb 3.6919 7.3747 2.6261
Cr 0.0000 0.0000 0.0000
Hg 3.6886 3.6877 0.0037
Cl 3.6921 3.6912 2.8441
Cl 5.6797 5.6748 0.0076
Cl 1.7040 5.6742 0.0038
Cl 9.3643 5.3917 5.2456
Cl 5.3886 5.3911 5.2418
Cl 7.3763 7.3746 2.4053
```

Computed properties:
formation energy (no corrections): -1287 meV per atom
N(E_F): 1.3 states/eV per cell
crystal system: monoclinic

Record 8
DFT (PBE) results for a relaxed structure of PuSc4.

The structure in extended XYZ format:
```
5
Lattice="5.0927 0.0000 0.0000 0.0000 5.0927 0.0000 0.0000 0.0000 5.0927" Properties=species:S:1:pos:R:3 pbc="T T T"
Sc 0.0000 0.0000 0.0000
Sc 2.5463 0.0000 2.5463
Sc 0.0000 2.5463 2.5463
Sc 2.5463 2.5463 0.0000
Pu 2.5463 2.5463 2.5463
```

Computed properties:
N(E_F): 5.3 states/eV per cell
crystal system: cubic
energy relative to the elements: 601.9 meV/atom

Record 9
DFT (PBE) results for a relaxed structure of CoTc2Au.

The structure in extended XYZ format:
```
4
Lattice="-1.8585 -4.2439 -0.7871 -1.8658 -3.8708 1.9028 -4.6736 1.1946 -0.1783" Properties=species:S:1:pos:R:3 pbc="T T T"
Au -4.1549 -3.5056 0.4752
Co -2.0364 -1.8192 0.2469
Tc -8.3591 -6.8501 0.9278
Tc -6.4444 -5.1254 0.6937
```

Computed properties:
N(E_F): 4.5 states/eV per cell
crystal system: monoclinic
energy relative to the elements: 276.8 meV/atom

Record 10
DFT (PBE) results for a relaxed structure of Tm2ZrRh3.

The structure in extended XYZ format:
```
6
Lattice="-2.5466 -1.9988 0.9578 0.8561 -2.2327 -2.3832 6.0305 -4.5862 6.4629" Properties=species:S:1:pos:R:3 pbc="T T T"
Tm 4.1791 -5.9368 4.6719
Tm 0.1609 -2.8809 0.3656
Zr 2.1700 -4.4089 2.5188
Rh 0.0000 0.0000 0.0000
Rh 3.9481 -3.0025 4.2311
Rh 2.0824 -1.5837 2.2318
```

Computed properties:
N(E_F): 3.6 states/eV per cell
crystal system: tetragonal
energy relative to the elements: -907.2 meV/atom

Record 11
DFT (PBE) results for a relaxed structure of AlCuP2.

The structure in extended XYZ format:
```
4
Lattice="2.8409 0.0000 0.0000 0.0000 3.5936 0.0000 0.0000 0.0000 6.8067" Properties=species:S:1:pos:R:3 pbc="T T T"
P 0.0000 0.0000 5.9662
P 1.4204 1.7968 2.4412
Al 0.0000 0.0000 3.5001
Cu 1.4204 1.7968 5.1094
```

Computed properties:
N(E_F): 0.9 states/eV per cell
crystal system: orthorhombic
energy relative to the elements: 63.0 meV/atom

Record 12
DFT (PBE) results for a relaxed structure of DyEr2.

The structure in extended XYZ format:
```
3
Lattice="3.5047 0.0000 0.0000 0.0000 3.5047 0.0000 -1.7524 -1.7524 7.4667" Properties=species:S:1:pos:R:3 pbc="T T T"
Dy 0.0000 0.0000 0.0000
Er 1.7524 1.7524 2.4946
Er 0.0000 0.0000 4.9721
```

Computed properties:
N(E_F): 4.0 states/eV per cell
crystal system: tetragonal
energy relative to the elements: 22.6 meV/atom

Record 13
DFT (PBE) results for a relaxed structure of ZrPdBr6.

The structure in extended XYZ format:
```
8
Lattice="6.5449 -1.4841 -1.3551 -4.5400 7.7014 -2.9056 0.6376 -0.3099 6.9861" Properties=species:S:1:pos:R:3 pbc="T T T"
Zr 3.2725 -0.7421 -0.6776
Pd 0.0000 0.0000 0.0000
Br -0.9114 1.8270 1.4270
Br 0.7165 6.0030 1.1485
Br 1.9260 -0.0956 1.5768
Br 3.5539 4.0804 1.2983
Br -0.6155 4.7103 -2.5071
Br 2.6204 1.5070 -1.7536
```

Computed properties:
formation energy (no corrections): -935 meV per atom
crystal system: monoclinic

Record 14
DFT (PBE) results for a relaxed structure of KAlSnTe3.

The structure in extended XYZ format:
```
12
Lattice="4.4866 0.0000 0.0000 0.0000 10.0304 -0.2340 0.0000 -2.9156 10.6518" Properties=species:S:1:pos:R:3 pbc="T T T"
K 1.1216 1.3654 2.0757
K 3.3649 5.7494 8.3421
Al 1.1216 -1.0533 6.6195
Al 3.3649 8.1681 3.7983
Sn 1.1216 6.1709 1.1860
Sn 3.3649 0.9440 9.2318
Te 3.3649 8.6569 1.3116
Te 1.1216 -1.5421 9.1062
Te 1.1216 6.8376 4.7315
Te 3.3649 0.2772 5.6863
Te 3.3649 4.0169 1.5256
Te 1.1216 3.0979 8.8922
```

Computed properties:
formation energy (no corrections): -551 meV per atom
N(E_F): 1.9 states/eV per cell
crystal system: monoclinic

Record 15
DFT (PBE) results for a relaxed structure of Ba2AlCdAg6.

The structure in extended XYZ format:
```
10
Lattice="-5.0419 -4.8623 -1.7710 -1.1464 -0.6277 7.3548 -5.9119 1.5947 4.2844" Properties=species:S:1:pos:R:3 pbc="T T T"
Ba -6.9461 -3.3343 2.2898
Ba -5.1541 -0.5610 7.5785
Al 0.0000 0.0000 0.0000
Cd -3.0941 -2.7450 2.7919
Ag -4.6781 -0.6493 3.8054
Ag -4.7784 -3.2353 5.0354
Ag -2.3418 -1.7464 5.3175
Ag -9.7584 -2.1488 4.5508
Ag -7.3218 -0.6600 4.8329
Ag -7.4221 -3.2459 6.0629
```

Computed properties:
N(E_F): 4.6 states/eV per cell
crystal system: triclinic
energy relative to the elements: -163.2 meV/atom

Record 16
DFT (PBE) results for a relaxed structure of POs3N.

The structure in extended XYZ format:
```
5
Lattice="-2.5396 2.4134 2.0431 -3.1561 -1.7738 -1.8278 -0.1941 -2.7345 2.9888" Properties=species:S:1:pos:R:3 pbc="T T T"
P -2.9449 -1.0475 1.6020
Os -1.5781 -0.8869 -0.9139
Os -0.0971 -1.3673 1.4944
Os -1.2698 1.2067 1.0216
N 0.0000 0.0000 0.0000
```

Computed properties:
formation energy (no corrections): 991 meV per atom
N(E_F): 2.7 states/eV per cell
crystal system: cubic

Record 17
DFT (PBE) results for a relaxed structure of H3PtW.

The structure in extended XYZ format:
```
5
Lattice="-2.6329 1.2316 -1.9097 -1.5773 -3.0945 0.1790 -1.6358 1.0016 2.9012" Properties=species:S:1:pos:R:3 pbc="T T T"
H -0.7887 -1.5473 0.0895
H -0.8179 0.5008 1.4506
H -1.3165 0.6158 -0.9548
W -2.9230 -0.4307 0.5852
Pt 0.0000 0.0000 0.0000
```

Computed properties:
N(E_F): 1.4 states/eV per cell
crystal system: cubic
raw total energy: -5.194 eV per atom

Record 18
DFT (PBE) results for a relaxed structure of Ti3CrRe.

The structure in extended XYZ format:
```
5
Lattice="4.6893 0.0000 0.0000 0.0000 4.6893 0.0000 0.0000 0.0000 4.6893" Properties=species:S:1:pos:R:3 pbc="T T T"
Re 0.0000 0.0000 0.0000
Ti 0.0000 2.3447 0.0000
Ti 0.0000 0.0000 2.3447
Ti 2.3447 0.0000 0.0000
Cr 2.3447 2.3447 2.3447
```

Computed properties:
N(E_F): 6.5 states/eV per cell
crystal system: cubic
energy relative to the elements: 1166.5 meV/atom

Record 19
DFT (PBE) results for a relaxed structure of CrNiBi3.

The structure in extended XYZ format:
```
5
Lattice="5.1040 0.0000 0.0000 0.0000 5.1040 0.0000 0.0000 0.0000 5.1040" Properties=species:S:1:pos:R:3 pbc="T T T"
Ni 0.0000 0.0000 0.0000
Bi 0.0000 2.5520 0.0000
Bi 0.0000 0.0000 2.5520
Bi 2.5520 0.0000 0.0000
Cr 2.5520 2.5520 2.5520
```

Computed properties:
N(E_F): 6.2 states/eV per cell
crystal system: cubic
energy relative to the elements: 1027.4 meV/atom

Record 20
DFT (PBE) results for a relaxed structure of Tb4Sm3Ho3.

The structure in extended XYZ format:
```
10
Lattice="-1.1336 -3.5192 -0.2323 1.7643 0.0406 -9.2228 8.7575 -2.9329 1.6967" Properties=species:S:1:pos:R:3 pbc="T T T"
Tb 4.3738 -1.0690 -5.1482
Tb 6.1531 -1.8255 -2.3700
Tb 9.1825 -2.5224 -6.5946
Tb 1.3160 -0.3600 -0.9679
Sm 2.4015 -2.2310 -7.4590
Sm 2.8803 -2.7077 -2.5735
Sm 6.5153 -3.7069 -5.1736
Ho 9.6207 -2.9086 -2.8834
Ho 4.4133 -1.4771 0.8414
Ho 6.9820 -4.1786 -0.3068
```

Computed properties:
N(E_F): 8.5 states/eV per cell
crystal system: orthorhombic
energy relative to the elements: 99.6 meV/atom